# PBEsol KTePb2, optimized geometry
data_KTePb2
_chemical_formula_sum 'K1 Te1 Pb2'
_space_group_name_H-M_alt 'P 4 m m'
_space_group_IT_number 99
_space_group_name_Hall 'P 4 -2'
_cell_length_a 4.3073
_cell_length_b 4.3073
_cell_length_c 7.1261
_cell_angle_alpha 90.00
_cell_angle_beta 90.00
_cell_angle_gamma 90.00
loop_
_atom_site_label
_atom_site_type_symbol
_atom_site_fract_x
_atom_site_fract_y
_atom_site_fract_z
K1 K 0.0000 0.0000 0.0000
Te1 Te 0.5000 0.5000 0.7244
Pb1 Pb 0.0000 0.0000 0.5176
Pb2 Pb 0.5000 0.5000 0.3051
# Final energy (eV per atom): -3.45
# Density (kg/m3): 7298
# ΔE_f (raw) (kcal/mol of atoms): -6.488

---

# PBEsol K2TePb, optimized geometry
data_K2TePb
_chemical_formula_sum 'K8 Te4 Pb4'
_space_group_name_H-M_alt 'F -4 3 m'
_space_group_IT_number 216
_space_group_name_Hall 'F -4 2 3'
_cell_length_a 8.2086
_cell_length_b 8.2086
_cell_length_c 8.2086
_cell_angle_alpha 90.00
_cell_angle_beta 90.00
_cell_angle_gamma 90.00
loop_
_atom_site_label
_atom_site_type_symbol
_atom_site_fract_x
_atom_site_fract_y
_atom_site_fract_z
K1 K 0.0000 0.0000 0.0000
K2 K 0.2500 0.2500 0.2500
Te1 Te 0.0000 0.0000 0.5000
Pb1 Pb 0.2500 0.2500 0.7500
# Final energy (eV per atom): -2.72
# Density (kg/m3): 4960
# ΔE_f (raw) (kcal/mol of atoms): -6.309

---

# PBEsol K3TiPb, optimized geometry
data_K3TiPb
_chemical_formula_sum 'K3 Ti1 Pb1'
_space_group_name_H-M_alt 'P m -3 m'
_space_group_IT_number 221
_space_group_name_Hall '-P 4 2 3'
_cell_length_a 6.5925
_cell_length_b 6.5925
_cell_length_c 6.5925
_cell_angle_alpha 90.00
_cell_angle_beta 90.00
_cell_angle_gamma 90.00
loop_
_atom_site_label
_atom_site_type_symbol
_atom_site_fract_x
_atom_site_fract_y
_atom_site_fract_z
K1 K 0.0000 0.0000 0.5000
Ti1 Ti 0.5000 0.5000 0.5000
Pb1 Pb 0.0000 0.0000 0.0000
# Final energy (eV per atom): -2.14
# Density (kg/m3): 2158

---

# PBEsol KTl2Pb, optimized geometry
data_KTl2Pb
_chemical_formula_sum 'K1 Tl2 Pb1'
_space_group_name_H-M_alt 'P 4/m m m'
_space_group_IT_number 123
_space_group_name_Hall '-P 4 2'
_cell_length_a 3.9091
_cell_length_b 3.9091
_cell_length_c 8.2073
_cell_angle_alpha 90.00
_cell_angle_beta 90.00
_cell_angle_gamma 90.00
loop_
_atom_site_label
_atom_site_type_symbol
_atom_site_fract_x
_atom_site_fract_y
_atom_site_fract_z
K1 K 0.0000 0.0000 0.0000
Tl1 Tl 0.5000 0.5000 0.2835
Pb1 Pb 0.0000 0.0000 0.5000
# Final energy (eV per atom): -2.70
# Density (kg/m3): 8673

---

# PBEsol KTlPb, optimized geometry
data_KTlPb
_chemical_formula_sum 'K2 Tl2 Pb2'
_space_group_name_H-M_alt 'P 4/n m m'
_space_group_IT_number 129
_cell_length_a 4.8894
_cell_length_b 4.8894
_cell_length_c 8.7004
_cell_angle_alpha 90.00
_cell_angle_beta 90.00
_cell_angle_gamma 90.00
loop_
_space_group_symop_operation_xyz
'x,y,z'
'-x,-y,-z'
'-y+1/2,x,z'
'y+1/2,-x,-z'
'-x+1/2,-y+1/2,z'
'x+1/2,y+1/2,-z'
'y,-x+1/2,z'
'-y,x+1/2,-z'
'x+1/2,-y,-z'
'-x+1/2,y,z'
'-y,-x,-z'
'y,x,z'
'-x,y+1/2,-z'
'x,-y+1/2,z'
'y+1/2,x+1/2,-z'
'-y+1/2,-x+1/2,z'
loop_
_atom_site_label
_atom_site_type_symbol
_atom_site_fract_x
_atom_site_fract_y
_atom_site_fract_z
K1 K 0.2500 0.2500 0.1644
Tl1 Tl 0.2500 0.2500 0.7406
Pb1 Pb 0.2500 0.7500 0.5000
# Offset from the most stable computed form (meV per atom): 0
# Final energy (eV per atom): -2.76
# Density (kg/m3): 7196

---

# PBEsol KTlPb2, optimized geometry
data_KTlPb2
_chemical_formula_sum 'K2 Tl2 Pb4'
_space_group_name_H-M_alt 'C 1 m 1'
_space_group_IT_number 8
_space_group_name_Hall 'C -2y'
_cell_length_a 10.9621
_cell_length_b 3.4686
_cell_length_c 6.6841
_cell_angle_alpha 90.00
_cell_angle_beta 97.52
_cell_angle_gamma 90.00
loop_
_atom_site_label
_atom_site_type_symbol
_atom_site_fract_x
_atom_site_fract_y
_atom_site_fract_z
K1 K 0.0000 0.0000 0.0000
Tl1 Tl 0.2525 0.5000 0.2751
Pb1 Pb 0.2440 0.0000 0.7058
Pb2 Pb 0.4983 0.0000 0.4975
# Offset from the most stable computed form (meV per atom): 34
# Final energy (eV per atom): -3.01
# Density (kg/m3): 8671

---

# PBEsol K2TlPb, optimized geometry
data_K2TlPb
_chemical_formula_sum 'K6 Tl3 Pb3'
_space_group_name_H-M_alt 'R -3 m'
_space_group_IT_number 166
_space_group_name_Hall '-R 3 2"'
_cell_length_a 3.6703
_cell_length_b 3.6703
_cell_length_c 35.5344
_cell_angle_alpha 90.00
_cell_angle_beta 90.00
_cell_angle_gamma 120.00
loop_
_atom_site_label
_atom_site_type_symbol
_atom_site_fract_x
_atom_site_fract_y
_atom_site_fract_z
K1 K 0.0000 0.0000 0.2505
Tl1 Tl 0.0000 0.0000 0.5000
Pb1 Pb 0.0000 0.0000 0.0000
# Offset from the most stable computed form (meV per atom): 160
# Final energy (eV per atom): -2.17
# Density (kg/m3): 5886

---

# PBEsol K2Tl2Pb, optimized geometry
data_K2Tl2Pb
_chemical_formula_sum 'K4 Tl4 Pb2'
_space_group_name_H-M_alt 'P 4/m b m'
_space_group_IT_number 127
_space_group_name_Hall '-P 4 2ab'
_cell_length_a 7.9712
_cell_length_b 7.9712
_cell_length_c 5.7070
_cell_angle_alpha 90.00
_cell_angle_beta 90.00
_cell_angle_gamma 90.00
loop_
_atom_site_label
_atom_site_type_symbol
_atom_site_fract_x
_atom_site_fract_y
_atom_site_fract_z
K1 K 0.1802 0.3198 0.0000
Tl1 Tl 0.1328 0.6328 0.5000
Pb1 Pb 0.0000 0.0000 0.5000
# Offset from the most stable computed form (meV per atom): 0
# Final energy (eV per atom): -2.37
# Density (kg/m3): 6358

---

# PBEsol KTl2Pb, optimized geometry
data_KTl2Pb
_chemical_formula_sum 'K4 Tl8 Pb4'
_space_group_name_H-M_alt 'F -4 3 m'
_space_group_IT_number 216
_space_group_name_Hall 'F -4 2 3'
_cell_length_a 7.8103
_cell_length_b 7.8103
_cell_length_c 7.8103
_cell_angle_alpha 90.00
_cell_angle_beta 90.00
_cell_angle_gamma 90.00
loop_
_atom_site_label
_atom_site_type_symbol
_atom_site_fract_x
_atom_site_fract_y
_atom_site_fract_z
K1 K 0.0000 0.0000 0.0000
Tl1 Tl 0.0000 0.0000 0.5000
Tl2 Tl 0.2500 0.2500 0.2500
Pb1 Pb 0.2500 0.2500 0.7500
# Final energy (eV per atom): -2.64
# Density (kg/m3): 9132

---

# PBEsol K2TlPb, optimized geometry
data_K2TlPb
_chemical_formula_sum 'K2 Tl1 Pb1'
_space_group_name_H-M_alt 'P 1 m 1'
_space_group_IT_number 6
_space_group_name_Hall 'P -2y'
_cell_length_a 3.8279
_cell_length_b 5.2804
_cell_length_c 7.1655
_cell_angle_alpha 90.00
_cell_angle_beta 103.34
_cell_angle_gamma 90.00
loop_
_atom_site_label
_atom_site_type_symbol
_atom_site_fract_x
_atom_site_fract_y
_atom_site_fract_z
K1 K 0.0000 0.0000 0.0000
K2 K 0.2817 0.5000 0.6534
Tl1 Tl 0.6865 0.0000 0.4522
Pb1 Pb 0.5973 0.5000 0.2066
# Offset from the most stable computed form (meV per atom): 21
# Final energy (eV per atom): -2.31
# Density (kg/m3): 5771

---

# PBEsol KTlPb2, optimized geometry
data_KTlPb2
_chemical_formula_sum 'K1 Tl1 Pb2'
_space_group_name_H-M_alt 'P 1 2/m 1'
_space_group_IT_number 10
_space_group_name_Hall '-P 2y'
_cell_length_a 3.4134
_cell_length_b 5.6174
_cell_length_c 6.8310
_cell_angle_alpha 90.00
_cell_angle_beta 99.95
_cell_angle_gamma 90.00
loop_
_atom_site_label
_atom_site_type_symbol
_atom_site_fract_x
_atom_site_fract_y
_atom_site_fract_z
K1 K 0.0000 0.0000 0.0000
Tl1 Tl 0.5000 0.0000 0.5000
Pb1 Pb 0.3106 0.5000 0.7094
# Offset from the most stable computed form (meV per atom): 58
# Final energy (eV per atom): -2.98
# Density (kg/m3): 8468

---

# PBEsol K2TlPb, optimized geometry
data_K2TlPb
_chemical_formula_sum 'K4 Tl2 Pb2'
_space_group_name_H-M_alt 'I -4 m 2'
_space_group_IT_number 119
_space_group_name_Hall 'I -4 -2'
_cell_length_a 5.6832
_cell_length_b 5.6832
_cell_length_c 8.0607
_cell_angle_alpha 90.00
_cell_angle_beta 90.00
_cell_angle_gamma 90.00
loop_
_atom_site_label
_atom_site_type_symbol
_atom_site_fract_x
_atom_site_fract_y
_atom_site_fract_z
K1 K 0.0000 0.0000 0.0000
K2 K 0.0000 0.5000 0.2500
Tl1 Tl 0.0000 0.5000 0.7500
Pb1 Pb 0.0000 0.0000 0.5000
# Offset from the most stable computed form (meV per atom): 5
# Final energy (eV per atom): -2.32
# Density (kg/m3): 6248

---

# PBEsol KTl2Pb, optimized geometry
data_KTl2Pb
_chemical_formula_sum 'K1 Tl2 Pb1'
_space_group_name_H-M_alt 'P 1 m 1'
_space_group_IT_number 6
_space_group_name_Hall 'P -2y'
_cell_length_a 3.4788
_cell_length_b 5.1820
_cell_length_c 7.1765
_cell_angle_alpha 90.00
_cell_angle_beta 103.04
_cell_angle_gamma 90.00
loop_
_atom_site_label
_atom_site_type_symbol
_atom_site_fract_x
_atom_site_fract_y
_atom_site_fract_z
K1 K 0.0000 0.0000 0.0000
Tl1 Tl 0.3071 0.5000 0.7174
Tl2 Tl 0.4831 0.0000 0.5022
Pb1 Pb 0.7006 0.5000 0.2982
# Final energy (eV per atom): -2.67
# Density (kg/m3): 8631

---

# PBEsol KTlPb2, optimized geometry
data_KTlPb2
_chemical_formula_sum 'K4 Tl4 Pb8'
_space_group_name_H-M_alt 'F -4 3 m'
_space_group_IT_number 216
_space_group_name_Hall 'F -4 2 3'
_cell_length_a 7.8975
_cell_length_b 7.8975
_cell_length_c 7.8975
_cell_angle_alpha 90.00
_cell_angle_beta 90.00
_cell_angle_gamma 90.00
loop_
_atom_site_label
_atom_site_type_symbol
_atom_site_fract_x
_atom_site_fract_y
_atom_site_fract_z
K1 K 0.0000 0.0000 0.0000
Tl1 Tl 0.2500 0.2500 0.7500
Pb1 Pb 0.0000 0.0000 0.5000
Pb2 Pb 0.2500 0.2500 0.2500
# Offset from the most stable computed form (meV per atom): 10
# Final energy (eV per atom): -3.03
# Density (kg/m3): 8871

---

# PBEsol KTlPb2, optimized geometry
data_KTlPb2
_chemical_formula_sum 'K1 Tl1 Pb2'
_space_group_name_H-M_alt 'P 4 m m'
_space_group_IT_number 99
_space_group_name_Hall 'P 4 -2'
_cell_length_a 4.0471
_cell_length_b 4.0471
_cell_length_c 7.9499
_cell_angle_alpha 90.00
_cell_angle_beta 90.00
_cell_angle_gamma 90.00
loop_
_atom_site_label
_atom_site_type_symbol
_atom_site_fract_x
_atom_site_fract_y
_atom_site_fract_z
K1 K 0.0000 0.0000 0.0000
Tl1 Tl 0.5000 0.5000 0.7135
Pb1 Pb 0.0000 0.0000 0.5007
Pb2 Pb 0.5000 0.5000 0.3016
# Offset from the most stable computed form (meV per atom): 10
# Final energy (eV per atom): -3.03
# Density (kg/m3): 8390

---

# PBEsol KTl2Pb, optimized geometry
data_KTl2Pb
_chemical_formula_sum 'K1 Tl2 Pb1'
_space_group_name_H-M_alt 'P m m 2'
_space_group_IT_number 25
_space_group_name_Hall 'P 2 -2'
_cell_length_a 3.6237
_cell_length_b 4.4484
_cell_length_c 7.7671
_cell_angle_alpha 90.00
_cell_angle_beta 90.00
_cell_angle_gamma 90.00
loop_
_atom_site_label
_atom_site_type_symbol
_atom_site_fract_x
_atom_site_fract_y
_atom_site_fract_z
K1 K 0.0000 0.0000 0.0000
Tl1 Tl 0.0000 0.0000 0.5027
Tl2 Tl 0.5000 0.5000 0.7123
Pb1 Pb 0.5000 0.5000 0.2996
# Final energy (eV per atom): -2.67
# Density (kg/m3): 8688

---

# PBEsol KTlPb2, optimized geometry
data_KTlPb2
_chemical_formula_sum 'K1 Tl1 Pb2'
_space_group_name_H-M_alt 'P m m m'
_space_group_IT_number 47
_space_group_name_Hall '-P 2 2'
_cell_length_a 3.7531
_cell_length_b 4.4164
_cell_length_c 7.7024
_cell_angle_alpha 90.00
_cell_angle_beta 90.00
_cell_angle_gamma 90.00
loop_
_atom_site_label
_atom_site_type_symbol
_atom_site_fract_x
_atom_site_fract_y
_atom_site_fract_z
K1 K 0.0000 0.0000 0.0000
Tl1 Tl 0.0000 0.0000 0.5000
Pb1 Pb 0.5000 0.5000 0.2990
# Offset from the most stable computed form (meV per atom): 35
# Final energy (eV per atom): -3.01
# Density (kg/m3): 8557

---

# PBEsol KTlPb2, optimized geometry
data_KTlPb2
_chemical_formula_sum 'K2 Tl2 Pb4'
_space_group_name_H-M_alt 'I 4/m m m'
_space_group_IT_number 139
_space_group_name_Hall '-I 4 2'
_cell_length_a 4.8725
_cell_length_b 4.8725
_cell_length_c 10.2092
_cell_angle_alpha 90.00
_cell_angle_beta 90.00
_cell_angle_gamma 90.00
loop_
_atom_site_label
_atom_site_type_symbol
_atom_site_fract_x
_atom_site_fract_y
_atom_site_fract_z
K1 K 0.0000 0.0000 0.0000
Tl1 Tl 0.0000 0.0000 0.5000
Pb1 Pb 0.0000 0.5000 0.2500
# Offset from the most stable computed form (meV per atom): 62
# Final energy (eV per atom): -2.98
# Density (kg/m3): 9014

---

# PBEsol KTl4Pb, optimized geometry
data_KTl4Pb
_chemical_formula_sum 'K4 Tl16 Pb4'
_space_group_name_H-M_alt 'F -4 3 m'
_space_group_IT_number 216
_space_group_name_Hall 'F -4 2 3'
_cell_length_a 9.0431
_cell_length_b 9.0431
_cell_length_c 9.0431
_cell_angle_alpha 90.00
_cell_angle_beta 90.00
_cell_angle_gamma 90.00
loop_
_atom_site_label
_atom_site_type_symbol
_atom_site_fract_x
_atom_site_fract_y
_atom_site_fract_z
K1 K 0.0000 0.0000 0.0000
Tl1 Tl 0.1244 0.1244 0.6244
Pb1 Pb 0.2500 0.2500 0.2500
# Final energy (eV per atom): -2.62
# Density (kg/m3): 9555

---

# PBEsol K2Tl2Pb, optimized geometry
data_K2Tl2Pb
_chemical_formula_sum 'K4 Tl4 Pb2'
_space_group_name_H-M_alt 'I 4/m m m'
_space_group_IT_number 139
_space_group_name_Hall '-I 4 2'
_cell_length_a 4.6618
_cell_length_b 4.6618
_cell_length_c 15.6910
_cell_angle_alpha 90.00
_cell_angle_beta 90.00
_cell_angle_gamma 90.00
loop_
_atom_site_label
_atom_site_type_symbol
_atom_site_fract_x
_atom_site_fract_y
_atom_site_fract_z
K1 K 0.0000 0.5000 0.2500
Tl1 Tl 0.0000 0.0000 0.0910
Pb1 Pb 0.0000 0.0000 0.5000
# Offset from the most stable computed form (meV per atom): 215
# Final energy (eV per atom): -2.16
# Density (kg/m3): 6761